No. 1
# Re2Os2W, single point on PBEsol structure, DFT meta-GGA SCAN
data_Re2Os2W
_symmetry_space_group_name_H-M 'P 1'
_symmetry_Int_Tables_number 1
_symmetry_space_group_name_Hall 'P 1'
_cell_length_a 3.743
_cell_length_b 3.743
_cell_length_c 6.411
_cell_angle_alpha 106.97
_cell_angle_beta 106.97
_cell_angle_gamma 90.00
loop_
_atom_site_label
_atom_site_fract_x
_atom_site_fract_y
_atom_site_fract_z
_atom_site_occupancy
Os1 0.250 0.750 0.500 1
Os2 0.750 0.250 0.500 1
Re1 0.602 0.602 0.204 1
Re2 0.398 0.398 0.796 1
W1 0.000 0.000 0.000 1
# DOS at the Fermi energy (states/eV per cell): 4.8
# Total DFT energy (no corrections) (eV/f.u.): -351.55
# Calculated formation energy (eV/atom): 0.82
# Spin magnetization (μB per formula unit): 0.00



No. 2
# Re2OsW, single point on PBEsol structure, DFT meta-GGA SCAN
data_Re2OsW
_symmetry_space_group_name_H-M 'P 1'
_symmetry_Int_Tables_number 1
_symmetry_space_group_name_Hall 'P 1'
_cell_length_a 4.379
_cell_length_b 4.379
_cell_length_c 4.379
_cell_angle_alpha 60.00
_cell_angle_beta 60.00
_cell_angle_gamma 60.00
loop_
_atom_site_label
_atom_site_fract_x
_atom_site_fract_y
_atom_site_fract_z
_atom_site_occupancy
Os1 0.000 0.000 0.000 1
Re1 0.250 0.250 0.250 1
Re2 0.750 0.750 0.750 1
W1 0.500 0.500 0.500 1
# DOS at the Fermi energy (states/eV per cell): 4.6
# Total DFT energy (no corrections) (eV/f.u.): -282.41
# Calculated formation energy (eV/atom): 0.34
# Spin magnetization (μB per formula unit): 0.00
# Excess energy over the best structure of this formula in the dataset (meV per atom): 194



No. 3
# Re2OsW, single point on PBEsol structure, DFT meta-GGA SCAN
data_Re2OsW
_symmetry_space_group_name_H-M 'P 1'
_symmetry_Int_Tables_number 1
_symmetry_space_group_name_Hall 'P 1'
_cell_length_a 2.745
_cell_length_b 2.745
_cell_length_c 9.213
_cell_angle_alpha 81.43
_cell_angle_beta 81.43
_cell_angle_gamma 60.00
loop_
_atom_site_label
_atom_site_fract_x
_atom_site_fract_y
_atom_site_fract_z
_atom_site_occupancy
Os1 0.500 0.500 0.500 1
Re1 0.248 0.248 0.257 1
Re2 0.752 0.752 0.743 1
W1 0.000 0.000 0.000 1
# DOS at the Fermi energy (states/eV per cell): 3.4
# Total DFT energy (no corrections) (eV/f.u.): -283.02
# Calculated formation energy (eV/atom): 0.18
# Spin magnetization (μB per formula unit): 0.00
# Excess energy over the best structure of this formula in the dataset (meV per atom): 41



No. 4
# Re2OsW, single point on PBEsol structure, DFT meta-GGA SCAN
data_Re2OsW
_symmetry_space_group_name_H-M 'P 1'
_symmetry_Int_Tables_number 1
_symmetry_space_group_name_Hall 'P 1'
_cell_length_a 2.751
_cell_length_b 2.751
_cell_length_c 9.144
_cell_angle_alpha 81.35
_cell_angle_beta 81.35
_cell_angle_gamma 60.00
loop_
_atom_site_label
_atom_site_fract_x
_atom_site_fract_y
_atom_site_fract_z
_atom_site_occupancy
Os1 0.750 0.750 0.751 1
Re1 0.000 0.000 0.001 1
Re2 0.252 0.252 0.244 1
W1 0.499 0.499 0.504 1
# DOS at the Fermi energy (states/eV per cell): 3.1
# Total DFT energy (no corrections) (eV/f.u.): -283.19
# Calculated formation energy (eV/atom): 0.14
# Spin magnetization (μB per formula unit): 0.00
# Excess energy over the best structure of this formula in the dataset (meV per atom): 0



No. 5
# Re2OsW, single point on PBEsol structure, DFT meta-GGA SCAN
data_Re2OsW
_symmetry_space_group_name_H-M 'P 1'
_symmetry_Int_Tables_number 1
_symmetry_space_group_name_Hall 'P 1'
_cell_length_a 2.901
_cell_length_b 4.518
_cell_length_c 4.536
_cell_angle_alpha 90.00
_cell_angle_beta 90.00
_cell_angle_gamma 90.00
loop_
_atom_site_label
_atom_site_fract_x
_atom_site_fract_y
_atom_site_fract_z
_atom_site_occupancy
Os1 0.000 0.500 0.500 1
Re1 0.000 0.000 0.000 1
Re2 0.500 0.500 0.000 1
W1 0.500 0.000 0.500 1
# DOS at the Fermi energy (states/eV per cell): 3.8
# Total DFT energy (no corrections) (eV/f.u.): -282.50
# Calculated formation energy (eV/atom): 0.31
# Spin magnetization (μB per formula unit): 0.00
# Excess energy over the best structure of this formula in the dataset (meV per atom): 171



No. 6
# ReOsW2, single point on PBEsol structure, DFT meta-GGA SCAN
data_ReOsW2
_symmetry_space_group_name_H-M 'P 1'
_symmetry_Int_Tables_number 1
_symmetry_space_group_name_Hall 'P 1'
_cell_length_a 2.712
_cell_length_b 2.712
_cell_length_c 8.712
_cell_angle_alpha 90.00
_cell_angle_beta 90.00
_cell_angle_gamma 109.94
loop_
_atom_site_label
_atom_site_fract_x
_atom_site_fract_y
_atom_site_fract_z
_atom_site_occupancy
Os1 0.500 0.500 0.500 1
Re1 0.500 0.500 0.000 1
W1 0.000 0.000 0.251 1
W2 0.000 0.000 0.749 1
# DOS at the Fermi energy (states/eV per cell): 3.6
# Total DFT energy (no corrections) (eV/f.u.): -281.54
# Calculated formation energy (eV/atom): 0.20
# Spin magnetization (μB per formula unit): 0.00
# Excess energy over the best structure of this formula in the dataset (meV per atom): 61



No. 7
# YRe2Os, single point on PBEsol structure, DFT meta-GGA SCAN
data_YRe2Os
_symmetry_space_group_name_H-M 'P 1'
_symmetry_Int_Tables_number 1
_symmetry_space_group_name_Hall 'P 1'
_cell_length_a 2.901
_cell_length_b 4.758
_cell_length_c 5.312
_cell_angle_alpha 106.16
_cell_angle_beta 105.85
_cell_angle_gamma 90.00
loop_
_atom_site_label
_atom_site_fract_x
_atom_site_fract_y
_atom_site_fract_z
_atom_site_occupancy
Os1 0.000 0.500 0.000 1
Re1 0.277 0.290 0.554 1
Re2 0.723 0.710 0.446 1
Y1 0.500 0.000 0.000 1
# DOS at the Fermi energy (states/eV per cell): 3.1
# Total DFT energy (no corrections) (eV/f.u.): -240.96
# Calculated formation energy (eV/atom): 0.24
# Spin magnetization (μB per formula unit): 0.00
# Excess energy over the best structure of this formula in the dataset (meV per atom): 0



No. 8
# YRe2Os, single point on PBEsol structure, DFT meta-GGA SCAN
data_YRe2Os
_symmetry_space_group_name_H-M 'P 1'
_symmetry_Int_Tables_number 1
_symmetry_space_group_name_Hall 'P 1'
_cell_length_a 2.797
_cell_length_b 2.797
_cell_length_c 8.492
_cell_angle_alpha 90.00
_cell_angle_beta 90.00
_cell_angle_gamma 90.00
loop_
_atom_site_label
_atom_site_fract_x
_atom_site_fract_y
_atom_site_fract_z
_atom_site_occupancy
Os1 0.500 0.500 0.500 1
Re1 0.000 0.000 0.715 1
Re2 0.000 0.000 0.285 1
Y1 0.500 0.500 0.000 1
# DOS at the Fermi energy (states/eV per cell): 2.7
# Total DFT energy (no corrections) (eV/f.u.): -240.81
# Calculated formation energy (eV/atom): 0.28
# Spin magnetization (μB per formula unit): 0.00
# Excess energy over the best structure of this formula in the dataset (meV per atom): 38



No. 9
# Y2ReOs, single point on PBEsol structure, DFT meta-GGA SCAN
data_Y2ReOs
_symmetry_space_group_name_H-M 'P 1'
_symmetry_Int_Tables_number 1
_symmetry_space_group_name_Hall 'P 1'
_cell_length_a 3.358
_cell_length_b 4.789
_cell_length_c 4.789
_cell_angle_alpha 90.00
_cell_angle_beta 90.00
_cell_angle_gamma 90.00
loop_
_atom_site_label
_atom_site_fract_x
_atom_site_fract_y
_atom_site_fract_z
_atom_site_occupancy
Os1 0.500 0.500 0.500 1
Re1 0.500 0.000 0.000 1
Y1 0.000 0.000 0.500 1
Y2 0.000 0.500 0.000 1
# DOS at the Fermi energy (states/eV per cell): 4.6
# Total DFT energy (no corrections) (eV/f.u.): -197.80
# Calculated formation energy (eV/atom): 0.21
# Spin magnetization (μB per formula unit): 0.00



No. 10
# YReOs2, single point on PBEsol structure, DFT meta-GGA SCAN
data_YReOs2
_symmetry_space_group_name_H-M 'P 1'
_symmetry_Int_Tables_number 1
_symmetry_space_group_name_Hall 'P 1'
_cell_length_a 2.857
_cell_length_b 4.641
_cell_length_c 5.716
_cell_angle_alpha 113.95
_cell_angle_beta 104.47
_cell_angle_gamma 90.00
loop_
_atom_site_label
_atom_site_fract_x
_atom_site_fract_y
_atom_site_fract_z
_atom_site_occupancy
Os1 0.030 0.030 0.061 1
Os2 0.749 0.249 0.498 1
Re1 0.469 0.469 0.937 1
Y1 0.252 0.752 0.505 1
# DOS at the Fermi energy (states/eV per cell): 3.6
# Total DFT energy (no corrections) (eV/f.u.): -241.60
# Calculated formation energy (eV/atom): 0.28
# Spin magnetization (μB per formula unit): 0.00
# Excess energy over the best structure of this formula in the dataset (meV per atom): 0



No. 11
# YReOs2, single point on PBEsol structure, DFT meta-GGA SCAN
data_YReOs2
_symmetry_space_group_name_H-M 'P 1'
_symmetry_Int_Tables_number 1
_symmetry_space_group_name_Hall 'P 1'
_cell_length_a 4.493
_cell_length_b 4.493
_cell_length_c 4.493
_cell_angle_alpha 91.72
_cell_angle_beta 119.01
_cell_angle_gamma 119.01
loop_
_atom_site_label
_atom_site_fract_x
_atom_site_fract_y
_atom_site_fract_z
_atom_site_occupancy
Os1 0.500 0.750 0.250 1
Os2 0.500 0.250 0.750 1
Re1 0.000 0.000 0.000 1
Y1 0.000 0.500 0.500 1
# DOS at the Fermi energy (states/eV per cell): 4.5
# Total DFT energy (no corrections) (eV/f.u.): -241.14
# Calculated formation energy (eV/atom): 0.39
# Spin magnetization (μB per formula unit): 0.00
# Excess energy over the best structure of this formula in the dataset (meV per atom): 116



No. 12
# YReOs2, single point on PBEsol structure, DFT meta-GGA SCAN
data_YReOs2
_symmetry_space_group_name_H-M 'P 1'
_symmetry_Int_Tables_number 1
_symmetry_space_group_name_Hall 'P 1'
_cell_length_a 2.988
_cell_length_b 4.669
_cell_length_c 4.669
_cell_angle_alpha 95.20
_cell_angle_beta 90.00
_cell_angle_gamma 90.00
loop_
_atom_site_label
_atom_site_fract_x
_atom_site_fract_y
_atom_site_fract_z
_atom_site_occupancy
Os1 0.000 0.500 0.000 1
Os2 0.000 0.000 0.500 1
Re1 0.500 0.000 0.000 1
Y1 0.500 0.500 0.500 1
# DOS at the Fermi energy (states/eV per cell): 3.6
# Total DFT energy (no corrections) (eV/f.u.): -241.52
# Calculated formation energy (eV/atom): 0.30
# Spin magnetization (μB per formula unit): 0.00
# Excess energy over the best structure of this formula in the dataset (meV per atom): 20



No. 13
# YReOs2, single point on PBEsol structure, DFT meta-GGA SCAN
data_YReOs2
_symmetry_space_group_name_H-M 'P 1'
_symmetry_Int_Tables_number 1
_symmetry_space_group_name_Hall 'P 1'
_cell_length_a 2.804
_cell_length_b 3.767
_cell_length_c 6.467
_cell_angle_alpha 90.00
_cell_angle_beta 90.00
_cell_angle_gamma 90.00
loop_
_atom_site_label
_atom_site_fract_x
_atom_site_fract_y
_atom_site_fract_z
_atom_site_occupancy
Os1 0.000 0.000 0.048 1
Os2 0.500 0.500 0.252 1
Re1 0.000 0.000 0.444 1
Y1 0.500 0.500 0.757 1
# DOS at the Fermi energy (states/eV per cell): 4.3
# Total DFT energy (no corrections) (eV/f.u.): -241.37
# Calculated formation energy (eV/atom): 0.33
# Spin magnetization (μB per formula unit): 0.00
# Excess energy over the best structure of this formula in the dataset (meV per atom): 57



No. 14
# YZr2ReOs, single point on PBEsol structure, DFT meta-GGA SCAN
data_YZr2ReOs
_symmetry_space_group_name_H-M 'P 1'
_symmetry_Int_Tables_number 1
_symmetry_space_group_name_Hall 'P 1'
_cell_length_a 4.887
_cell_length_b 4.887
_cell_length_c 5.135
_cell_angle_alpha 90.00
_cell_angle_beta 90.00
_cell_angle_gamma 90.00
loop_
_atom_site_label
_atom_site_fract_x
_atom_site_fract_y
_atom_site_fract_z
_atom_site_occupancy
Y1 0.000 0.000 0.500 1
Re1 0.500 0.500 0.500 1
Os1 0.000 0.000 0.000 1
Zr1 0.000 0.500 0.000 1
Zr2 0.500 0.000 0.000 1
# DOS at the Fermi energy (states/eV per cell): 4.5
# Total DFT energy (no corrections) (eV/f.u.): -227.81
# Calculated formation energy (eV/atom): 0.88
# Spin magnetization (μB per formula unit): 1.20



No. 15
# Zn2ReOs, single point on PBEsol structure, DFT meta-GGA SCAN
data_Zn2ReOs
_symmetry_space_group_name_H-M 'P 1'
_symmetry_Int_Tables_number 1
_symmetry_space_group_name_Hall 'P 1'
_cell_length_a 2.850
_cell_length_b 4.481
_cell_length_c 5.133
_cell_angle_alpha 115.88
_cell_angle_beta 106.12
_cell_angle_gamma 90.00
loop_
_atom_site_label
_atom_site_fract_x
_atom_site_fract_y
_atom_site_fract_z
_atom_site_occupancy
Os1 0.500 0.000 0.000 1
Re1 0.000 0.500 0.000 1
Zn1 0.753 0.753 0.506 1
Zn2 0.247 0.247 0.494 1
# DOS at the Fermi energy (states/eV per cell): 2.0
# Total DFT energy (no corrections) (eV/f.u.): -168.95
# Calculated formation energy (eV/atom): 0.27
# Spin magnetization (μB per formula unit): 0.00
# Excess energy over the best structure of this formula in the dataset (meV per atom): 254



No. 16
# Zn2ReOs, single point on PBEsol structure, DFT meta-GGA SCAN
data_Zn2ReOs
_symmetry_space_group_name_H-M 'P 1'
_symmetry_Int_Tables_number 1
_symmetry_space_group_name_Hall 'P 1'
_cell_length_a 2.800
_cell_length_b 3.678
_cell_length_c 5.449
_cell_angle_alpha 90.00
_cell_angle_beta 90.00
_cell_angle_gamma 90.00
loop_
_atom_site_label
_atom_site_fract_x
_atom_site_fract_y
_atom_site_fract_z
_atom_site_occupancy
Os1 0.500 0.000 0.519 1
Re1 0.000 0.500 0.730 1
Zn1 0.500 0.000 0.016 1
Zn2 0.000 0.500 0.235 1
# DOS at the Fermi energy (states/eV per cell): 1.6
# Total DFT energy (no corrections) (eV/f.u.): -169.58
# Calculated formation energy (eV/atom): 0.11
# Spin magnetization (μB per formula unit): 0.00
# Excess energy over the best structure of this formula in the dataset (meV per atom): 96